Entry 1:
VASP calculation (PBE-GGA) on a relaxed Sr2Ga3Pt4 crystal.

a = 5.8310 Å, b = 15.8025 Å, c = 7.6350 Å
α = 90.00°, β = 90.00°, γ = 90.00°
Space group Cmce (No. 64)
Inequivalent atoms, fractional coordinates:
1 Sr 0.0000 0.1061 0.0922 x8
2 Ga 0.0000 0.0000 0.5000 x4
3 Ga 0.2500 0.2292 0.7500 x8
4 Pt 0.0000 0.1856 0.4780 x8
5 Pt 0.2500 0.0651 0.7500 x8

Computed properties:
ΔH_f (0 K), eV/atom: -0.825
Uncorrected energy, eV for the cell shown: -176.1

=====

Entry 2:
VASP calculation (PBE-GGA) on a relaxed VCrPBr crystal.

a = 12.3455 Å, b = 3.3255 Å, c = 3.5920 Å
α = 90.00°, β = 92.74°, γ = 90.00°
Space group Cm (No. 8)
Inequivalent atoms, fractional coordinates:
1 V 0.0000 0.0000 0.0000 x2
2 Cr 0.3639 0.5000 0.3110 x2
3 P 0.4814 0.0000 0.5116 x2
4 Br 0.2243 0.0000 0.0470 x2

Computed properties:
Formation energy without anion corrections, eV/atom: -0.21
Uncorrected energy, eV for the cell shown: -53.3
E above lowest polymorph, meV/atom: 108

=====

Entry 3:
VASP calculation (PBE-GGA) on a relaxed SrCa2CdNi crystal.

a = 5.4093 Å, b = 5.4093 Å, c = 5.3007 Å
α = 90.00°, β = 90.00°, γ = 90.00°
Space group P4/mmm (No. 123)
Inequivalent atoms, fractional coordinates:
1 Sr 0.0000 0.0000 0.0000 x1
2 Ca 0.0000 0.5000 0.5000 x2
3 Cd 0.5000 0.5000 0.0000 x1
4 Ni 0.5000 0.5000 0.5000 x1

Computed properties:
ΔH_f (0 K), eV/atom: -0.073
Uncorrected energy, eV for the cell shown: -12.7

=====

Entry 4:
VASP calculation (PBE-GGA) on a relaxed Sr3ZrCo crystal.

a = 5.6732 Å, b = 5.6732 Å, c = 5.6732 Å
α = 90.00°, β = 90.00°, γ = 90.00°
Space group Pm-3m (No. 221)
Inequivalent atoms, fractional coordinates:
1 Sr 0.0000 0.0000 0.5000 x3
2 Zr 0.5000 0.5000 0.5000 x1
3 Co 0.0000 0.0000 0.0000 x1

Computed properties:
ΔH_f (0 K), eV/atom: 0.785
Uncorrected energy, eV for the cell shown: -16.8

=====

Entry 5:
VASP calculation (PBE-GGA) on a relaxed ZrZn2Sb crystal.

a = 3.7230 Å, b = 3.7230 Å, c = 5.8154 Å
α = 90.00°, β = 90.00°, γ = 90.00°
Space group P4mm (No. 99)
Inequivalent atoms, fractional coordinates:
1 Zr 0.0000 0.0000 0.0000 x1
2 Zn 0.0000 0.0000 0.5120 x1
3 Zn 0.5000 0.5000 0.7190 x1
4 Sb 0.5000 0.5000 0.2232 x1

Computed properties:
Formation energy without anion corrections, eV/atom: -0.21
Uncorrected energy, eV for the cell shown: -16.1

=====

Entry 6:
VASP calculation (PBE-GGA) on a relaxed SmSc2Al2Zn2 crystal.

a = 4.4435 Å, b = 4.4435 Å, c = 25.9951 Å
α = 90.00°, β = 90.00°, γ = 120.00°
Space group R-3m (No. 166, hexagonal axes)
Inequivalent atoms, fractional coordinates:
1 Sm 0.0000 0.0000 0.0000 x3
2 Sc 0.0000 0.0000 0.1315 x6
3 Al 0.0000 0.0000 0.2549 x6
4 Zn 0.0000 0.0000 0.4106 x6

Computed properties:
ΔH_f (0 K), eV/atom: -0.321
Uncorrected energy, eV for the cell shown: -89.0

=====

Entry 7:
VASP calculation (PBE-GGA) on a relaxed PmPrErSn crystal.

a = 7.8079 Å, b = 7.8079 Å, c = 7.8079 Å
α = 90.00°, β = 90.00°, γ = 90.00°
Space group F-43m (No. 216)
Inequivalent atoms, fractional coordinates:
1 Pm 0.0000 0.0000 0.0000 x4
2 Pr 0.0000 0.0000 0.5000 x4
3 Er 0.2500 0.2500 0.7500 x4
4 Sn 0.2500 0.2500 0.2500 x4

Computed properties:
ΔH_f (0 K), eV/atom: -0.261
Uncorrected energy, eV for the cell shown: -76.6

=====

Entry 8:
VASP calculation (PBE-GGA) on a relaxed LiNiAs2 crystal.

a = 3.1789 Å, b = 3.1789 Å, c = 22.3022 Å
α = 90.00°, β = 90.00°, γ = 120.00°
Space group R-3m (No. 166, hexagonal axes)
Inequivalent atoms, fractional coordinates:
1 Li 0.0000 0.0000 0.0000 x3
2 Ni 0.0000 0.0000 0.5000 x3
3 As 0.0000 0.0000 0.2381 x6

Computed properties:
ΔH_f (0 K), eV/atom: -0.260
Uncorrected energy, eV for the cell shown: -54.1
E above lowest polymorph, meV/atom: 76

=====

Entry 9:
VASP calculation (PBE-GGA) on a relaxed Hg2MoIr crystal.

a = 2.8521 Å, b = 4.9150 Å, c = 10.9158 Å
α = 90.00°, β = 90.00°, γ = 90.00°
Space group Imm2 (No. 44)
Inequivalent atoms, fractional coordinates:
1 Hg 0.0000 0.0000 0.0000 x2
2 Hg 0.0000 0.5000 0.2021 x2
3 Mo 0.0000 0.0000 0.4479 x2
4 Ir 0.0000 0.5000 0.7564 x2

Computed properties:
ΔH_f (0 K), eV/atom: 0.502
Uncorrected energy, eV for the cell shown: -36.6
E above lowest polymorph, meV/atom: 327

=====

Entry 10:
VASP calculation (PBE-GGA) on a relaxed HgHOs2W crystal.

a = 4.0764 Å, b = 4.0764 Å, c = 3.9996 Å
α = 90.00°, β = 90.00°, γ = 90.00°
Space group P4/mmm (No. 123)
Inequivalent atoms, fractional coordinates:
1 Hg 0.0000 0.0000 0.0000 x1
2 H 0.5000 0.5000 0.5000 x1
3 Os 0.0000 0.5000 0.5000 x2
4 W 0.5000 0.5000 0.0000 x1

Computed properties:
Uncorrected energy, eV for the cell shown: -35.3

=====

Entry 11:
VASP calculation (PBE-GGA) on a relaxed CdRuRh crystal.

a = 2.8158 Å, b = 2.8158 Å, c = 12.0801 Å
α = 90.00°, β = 90.00°, γ = 90.00°
Space group I4mm (No. 107)
Inequivalent atoms, fractional coordinates:
1 Cd 0.0000 0.0000 0.0000 x2
2 Ru 0.0000 0.0000 0.3189 x2
3 Rh 0.0000 0.0000 0.6802 x2

Computed properties:
ΔH_f (0 K), eV/atom: 0.090
Uncorrected energy, eV for the cell shown: -34.5
E above lowest polymorph, meV/atom: 11

=====

Entry 12:
VASP calculation (PBE-GGA) on a relaxed BaW2Cl crystal.

a = 3.4101 Å, b = 5.4160 Å, c = 9.6694 Å
α = 90.00°, β = 90.00°, γ = 90.00°
Space group Cmm2 (No. 35)
Inequivalent atoms, fractional coordinates:
1 Ba 0.0000 0.0000 0.0000 x2
2 W 0.0000 0.0000 0.5048 x2
3 W 0.0000 0.5000 0.6906 x2
4 Cl 0.0000 0.5000 0.2665 x2

Computed properties:
Formation energy without anion corrections, eV/atom: 0.51
Uncorrected energy, eV for the cell shown: -55.3
E above lowest polymorph, meV/atom: 334